<A>
HgMoIr3 | GGA-PBE | relaxed

Lattice parameters (Å, degrees): 4.7482 4.7482 4.7482 90.00 90.00 90.00
Fractional positions:
Hg1 0.0000 0.0000 0.0000
Mo1 0.5000 0.5000 0.5000
Ir1 0.0000 0.5000 0.5000
Ir2 0.5000 0.0000 0.5000
Ir3 0.5000 0.5000 0.0000

The space group is Pm-3m, No. 221.


<B>
HgMoIr3 | GGA-PBE | relaxed

Lattice parameters (Å, degrees): 4.8643 4.8643 4.8643 90.00 90.00 90.00
Fractional positions:
Hg1 0.0000 0.0000 0.0000
Mo1 0.5000 0.5000 0.5000
Ir1 0.0000 0.0000 0.5000
Ir2 0.0000 0.5000 0.0000
Ir3 0.5000 0.0000 0.0000

The space group is Pm-3m, No. 221.


Referenced to the most stable arrangement, the calculated values in meV/atom are <A> 0; <B> 1143.